Material: Tb2I3O
Method: DFT, GGA-PBE
State: relaxed

abc: 4.080 10.850 11.497
angles: 112.12 90.00 100.84
Sites, in units of the cell vectors:
Tb: 0.569 0.138 0.471
O: 0.457 0.913 0.357
Tb: 0.928 0.855 0.260
I: 0.927 0.855 0.741
I: 0.363 0.726 0.042
I: 0.814 0.628 0.366
Tb: 0.431 0.862 0.529
O: 0.543 0.087 0.643
I: 0.637 0.274 0.958
I: 0.073 0.145 0.259
I: 0.186 0.372 0.634
Tb: 0.072 0.145 0.740

Values from the calculation:
**M_tot**: 0.00 μB per atom
**Theoretical density**: 5.14 g/cm3
**Uncorrected energy**: -5.126 eV per atom
**Formation energy without anion corrections**: -1.981 eV per atom



Material: TbI3O9
Method: DFT, GGA-PBE
State: relaxed

abc: 6.172 8.820 16.789
angles: 65.48 90.00 90.00
Sites, in units of the cell vectors:
O: 0.484 0.365 0.866
I: 0.312 0.073 0.141
O: 0.392 0.905 0.669
I: 0.903 0.417 0.698
I: 0.188 0.073 0.641
O: 0.478 0.390 0.384
I: 0.403 0.583 0.802
O: 0.627 0.127 0.516
O: 0.948 0.941 0.685
I: 0.688 0.927 0.859
Tb: 0.289 0.148 0.395
O: 0.448 0.059 0.815
I: 0.097 0.583 0.302
I: 0.812 0.927 0.359
O: 0.873 0.127 0.016
O: 0.892 0.095 0.831
O: 0.368 0.117 0.027
Tb: 0.211 0.148 0.895
O: 0.516 0.635 0.134
O: 0.052 0.059 0.315
I: 0.145 0.644 0.020
O: 0.552 0.941 0.185
O: 0.373 0.873 0.484
O: 0.022 0.390 0.884
O: 0.868 0.883 0.473
O: 0.585 0.338 0.112
O: 0.522 0.610 0.616
O: 0.016 0.365 0.366
I: 0.355 0.644 0.520
O: 0.828 0.656 0.256
O: 0.978 0.610 0.116
I: 0.597 0.417 0.198
O: 0.108 0.905 0.169
O: 0.085 0.662 0.388
O: 0.608 0.095 0.331
Tb: 0.789 0.852 0.105
O: 0.172 0.344 0.744
O: 0.929 0.645 0.942
O: 0.915 0.338 0.612
O: 0.071 0.355 0.058
O: 0.571 0.645 0.442
O: 0.672 0.656 0.756
I: 0.645 0.356 0.480
O: 0.328 0.344 0.244
O: 0.132 0.117 0.527
O: 0.632 0.883 0.973
O: 0.984 0.635 0.634
I: 0.855 0.356 0.980
O: 0.415 0.662 0.888
Tb: 0.711 0.852 0.605
O: 0.127 0.873 0.984
O: 0.429 0.355 0.558

Values from the calculation:
**M_tot**: 0.00 μB per atom
**Theoretical density**: 5.46 g/cm3
**Uncorrected energy**: -5.143 eV per atom
**Formation energy without anion corrections**: -0.996 eV per atom



Material: TbI3O9
Method: DFT, GGA-PBE
State: relaxed

abc: 8.904 6.760 6.917
angles: 90.00 90.00 90.00
Sites, in units of the cell vectors:
Tb: 0.750 0.965 0.250
O: 0.389 0.138 0.053
I: 0.250 0.492 0.029
Tb: 0.250 0.035 0.750
O: 0.750 0.623 0.250
O: 0.111 0.138 0.053
I: 0.250 0.492 0.471
I: 0.750 0.508 0.529
O: 0.889 0.862 0.947
O: 0.398 0.561 0.250
O: 0.611 0.862 0.947
O: 0.750 0.253 0.444
O: 0.602 0.439 0.750
O: 0.250 0.747 0.556
O: 0.389 0.138 0.447
O: 0.250 0.747 0.944
I: 0.750 0.508 0.971
O: 0.611 0.862 0.553
O: 0.250 0.377 0.750
I: 0.250 0.036 0.250
O: 0.750 0.253 0.056
O: 0.102 0.561 0.250
O: 0.111 0.138 0.447
I: 0.750 0.964 0.750
O: 0.898 0.439 0.750
O: 0.889 0.862 0.553

Values from the calculation:
**M_tot**: 0.00 μB per atom
**Theoretical density**: 5.45 g/cm3
**Uncorrected energy**: -4.726 eV per atom
**Formation energy without anion corrections**: -0.580 eV per atom



Material: Tb2I2O
Method: DFT, GGA-PBE
State: relaxed

abc: 3.998 7.045 11.586
angles: 94.83 99.94 90.00
Each line ends with the local moment (μB).
Sites, in units of the cell vectors:
Tb: 0.187 0.880 0.375  0.36
I: 0.410 0.294 0.821  0.00
Tb: 0.813 0.120 0.625  0.36
I: 0.099 0.200 0.197  0.01
I: 0.901 0.800 0.803  0.01
Tb: 0.689 0.421 0.378  0.14
I: 0.590 0.706 0.179  0.00
Tb: 0.311 0.579 0.622  0.14
O: 0.212 0.576 0.425  0.02
O: 0.788 0.424 0.575  0.02

Values from the calculation:
**M_tot**: 0.20 μB per atom
**Theoretical density**: 6.09 g/cm3
**Uncorrected energy**: -5.404 eV per atom
**Formation energy without anion corrections**: -1.940 eV per atom



Material: TbI3O9
Method: DFT, GGA-PBE
State: relaxed

abc: 8.669 7.249 13.554
angles: 80.67 90.00 90.00
Sites, in units of the cell vectors:
O: 0.482 0.485 0.886
O: 0.779 0.284 0.322
I: 0.946 0.834 0.147
O: 0.705 0.655 0.677
I: 0.196 0.332 0.111
O: 0.846 0.868 0.951
O: 0.982 0.515 0.614
O: 0.668 0.476 0.492
O: 0.977 0.162 0.727
O: 0.518 0.515 0.114
O: 0.485 0.352 0.679
O: 0.721 0.284 0.822
O: 0.515 0.648 0.321
I: 0.554 0.834 0.647
O: 0.023 0.838 0.273
O: 0.295 0.345 0.323
I: 0.033 0.760 0.614
I: 0.967 0.240 0.386
Tb: 0.764 0.331 0.644
O: 0.018 0.485 0.386
I: 0.467 0.760 0.114
O: 0.819 0.033 0.144
O: 0.279 0.716 0.178
O: 0.795 0.655 0.177
I: 0.446 0.166 0.353
O: 0.411 0.818 0.983
O: 0.181 0.967 0.856
O: 0.654 0.868 0.451
O: 0.154 0.132 0.049
O: 0.015 0.352 0.179
Tb: 0.736 0.331 0.144
O: 0.089 0.818 0.483
O: 0.332 0.524 0.508
O: 0.589 0.182 0.017
O: 0.985 0.648 0.821
I: 0.533 0.240 0.886
O: 0.477 0.838 0.773
O: 0.523 0.162 0.227
O: 0.319 0.967 0.356
Tb: 0.264 0.669 0.856
O: 0.205 0.345 0.823
O: 0.832 0.476 0.992
I: 0.804 0.668 0.889
O: 0.346 0.132 0.549
O: 0.221 0.716 0.678
Tb: 0.236 0.669 0.356
I: 0.054 0.166 0.853
O: 0.168 0.524 0.008
I: 0.696 0.668 0.389
I: 0.304 0.332 0.611
O: 0.681 0.033 0.644
O: 0.911 0.182 0.517

Values from the calculation:
**M_tot**: 0.00 μB per atom
**Theoretical density**: 5.40 g/cm3
**Uncorrected energy**: -5.132 eV per atom
**Formation energy without anion corrections**: -0.985 eV per atom



Material: Tb2TlIO8
Method: DFT, GGA-PBE
State: relaxed

abc: 4.935 4.938 7.132
angles: 90.00 90.00 92.69
Sites, in units of the cell vectors:
O: 0.817 0.183 0.805
O: 0.721 0.722 0.000
O: 0.183 0.817 0.195
Tb: 0.500 0.500 0.246
O: 0.183 0.816 0.805
O: 0.817 0.184 0.195
O: 0.302 0.302 0.500
Tl: 0.000 0.000 0.500
I: 0.000 0.000 0.000
O: 0.279 0.278 0.000
O: 0.698 0.698 0.500
Tb: 0.500 0.500 0.754

Values from the calculation:
**M_tot**: 0.00 μB per atom
**Theoretical density**: 7.43 g/cm3
**Uncorrected energy**: -6.155 eV per atom
**Formation energy without anion corrections**: -1.752 eV per atom



Material: TbTl3I2O9
Method: DFT, GGA-PBE
State: relaxed

abc: 6.021 6.021 7.324
angles: 90.00 90.00 120.00
Sites, in units of the cell vectors:
Tl: 0.000 0.000 0.000
O: 0.000 0.500 0.000
Tl: 0.667 0.333 0.315
Tl: 0.333 0.667 0.685
O: 0.818 0.182 0.679
O: 0.500 0.500 0.000
O: 0.182 0.818 0.321
O: 0.636 0.818 0.321
O: 0.818 0.636 0.679
I: 0.667 0.333 0.827
I: 0.333 0.667 0.173
Tb: 0.000 0.000 0.500
O: 0.182 0.364 0.321
O: 0.364 0.182 0.679
O: 0.500 0.000 0.000

Values from the calculation:
**M_tot**: 0.00 μB per atom
**Theoretical density**: 8.45 g/cm3
**Uncorrected energy**: -4.906 eV per atom
**Formation energy without anion corrections**: -0.942 eV per atom



Material: TbTl2IO6
Method: DFT, GGA-PBE
State: relaxed

abc: 6.230 6.230 10.616
angles: 72.94 72.94 60.00
Sites, in units of the cell vectors:
O: 0.399 0.399 0.382
O: 0.253 0.819 0.109
Tb: 0.603 0.603 0.192
O: 0.180 0.601 0.618
I: 0.500 0.500 0.500
O: 0.399 0.820 0.382
O: 0.747 0.181 0.891
Tl: 0.869 0.869 0.394
O: 0.819 0.819 0.109
O: 0.820 0.399 0.382
Tb: 0.397 0.397 0.808
O: 0.819 0.253 0.109
Tl: 0.261 0.261 0.216
O: 0.181 0.181 0.891
O: 0.601 0.180 0.618
Tl: 0.739 0.739 0.784
I: 0.000 0.000 0.000
Tl: 0.131 0.131 0.606
O: 0.181 0.747 0.891
O: 0.601 0.601 0.618

Values from the calculation:
**M_tot**: 0.00 μB per atom
**Theoretical density**: 7.82 g/cm3
**Uncorrected energy**: -5.321 eV per atom
**Formation energy without anion corrections**: -1.255 eV per atom



Material: Tb2TmIO8
Method: DFT, GGA-PBE
State: relaxed

abc: 5.038 5.036 6.797
angles: 90.00 90.00 91.12
Sites, in units of the cell vectors:
O: 0.695 0.695 0.500
O: 0.821 0.179 0.790
Tb: 0.500 0.500 0.748
O: 0.268 0.268 0.000
I: 0.000 0.000 0.000
O: 0.179 0.821 0.790
O: 0.821 0.179 0.210
Tb: 0.500 0.500 0.252
O: 0.732 0.732 0.000
O: 0.305 0.305 0.500
O: 0.179 0.821 0.210
Tm: 0.000 0.000 0.500

Values from the calculation:
**M_tot**: 0.00 μB per atom
**Theoretical density**: 7.14 g/cm3
**Uncorrected energy**: -6.932 eV per atom
**Formation energy without anion corrections**: -2.353 eV per atom



Q: What is the uncorrected energy in the first record?
A: -5.126 eV per atom



Q: Look up the uncorrected energy of the seventh one.
A: -4.906 eV per atom